A:
## InRu2C (GGA-PBE)

Data for a geometry-optimized InRu2C structure.

Summary:
Total moment ... 0.00 Bohr magnetons per cell

a = 4.282 Å, b = 4.282 Å, c = 4.282 Å
α = 60.00°, β = 60.00°, γ = 60.00°
Fractional positions:
Ru (0.750, 0.750, 0.750)
Ru (0.250, 0.250, 0.250)
C (0.000, 0.000, 0.000)
In (0.500, 0.500, 0.500)

***

B:
## InRu2C (GGA-PBE)

Data for a geometry-optimized InRu2C structure.

Summary:
Total moment ... 0.00 Bohr magnetons per cell

a = 6.507 Å, b = 6.507 Å, c = 5.348 Å
α = 52.53°, β = 52.53°, γ = 90.00°
Fractional positions:
In (0.000, 0.000, 0.000)
In (0.750, 0.250, 0.500)
C (0.500, 0.500, 0.000)
C (0.250, 0.750, 0.500)
Ru (0.230, 0.625, 0.250)
Ru (0.520, 0.125, 0.250)
Ru (0.375, 0.480, 0.750)
Ru (0.875, 0.770, 0.750)

***

The relative energies come out as A 1013; B 0, with values in meV per atom.

***

A:
## In2RuC2 (GGA-PBE)

Data for a geometry-optimized In2RuC2 structure.

Summary:
Total moment ... 0.00 Bohr magnetons per cell

a = 2.936 Å, b = 2.936 Å, c = 8.285 Å
α = 79.79°, β = 79.79°, γ = 90.00°
Fractional positions:
C (0.750, 0.250, 0.500)
C (0.250, 0.750, 0.500)
In (0.618, 0.618, 0.764)
In (0.382, 0.382, 0.236)
Ru (0.000, 0.000, 0.000)

***

B:
## In2RuC2 (GGA-PBE)

Data for a geometry-optimized In2RuC2 structure.

Summary:
Total moment ... 0.00 Bohr magnetons per cell

a = 6.914 Å, b = 6.914 Å, c = 3.088 Å
α = 90.00°, β = 90.00°, γ = 90.00°
Fractional positions:
C (0.166, 0.666, 0.500)
C (0.666, 0.834, 0.500)
C (0.334, 0.166, 0.500)
C (0.834, 0.334, 0.500)
In (0.646, 0.146, 0.000)
In (0.354, 0.854, 0.000)
In (0.146, 0.354, 0.000)
In (0.854, 0.646, 0.000)
Ru (0.000, 0.000, 0.000)
Ru (0.500, 0.500, 0.000)

***

The relative energies come out as A 0; B 407, with values in meV per atom.

***

A:
## InC3S (GGA-PBE)

Data for a geometry-optimized InC3S structure.

Summary:
Total moment ... 0.00 Bohr magnetons per cell

a = 3.765 Å, b = 3.765 Å, c = 3.765 Å
α = 90.00°, β = 90.00°, γ = 90.00°
Fractional positions:
S (0.000, 0.000, 0.000)
C (0.000, 0.500, 0.000)
C (0.000, 0.000, 0.500)
C (0.500, 0.000, 0.000)
In (0.500, 0.500, 0.500)

***

B:
## InC3S (GGA-PBE)

Data for a geometry-optimized InC3S structure.

Summary:
Total moment ... 1.65 Bohr magnetons per cell

a = 4.365 Å, b = 4.365 Å, c = 4.365 Å
α = 90.00°, β = 90.00°, γ = 90.00°
Site moments in Bohr magnetons follow the coordinates.
Fractional positions:
C (0.000, 0.000, 0.500)  0.33
C (0.000, 0.500, 0.000)  0.39
C (0.500, 0.000, 0.000)  0.32
In (0.000, 0.000, 0.000)  0.00
S (0.500, 0.500, 0.500)  -0.23

***

The relative energies come out as A 0; B 965, with values in meV per atom.